VASP calculation (PBE-GGA) on P2SIO after structural relaxation.

POSCAR file:
```
P2SIO
1.0
4.844 0.000 0.000
0.000 4.844 0.000
0.000 0.000 3.658
P S I O
2 1 1 1
Direct
0.000 0.500 0.000
0.500 0.000 0.000
0.000 0.000 0.000
0.500 0.500 0.500
0.000 0.000 0.500
```

- Polymorph energy (0 for the lowest one): 0 meV per atom
- Space group: No. 123
- E_form (uncorrected): 0.6651 eV/atom
- D(E_F): 0.62 states/eV per atom